In2Hg | PBE | optimized geometry

relative energy among the computed polymorphs: 108.4 meV per atom
DFT total energy: -1.82 eV per atom
DOS at the Fermi energy: 0.67 states/eV per atom
ρ: 8.3 g/cm³
formation enthalpy at 0 K: 0.11 eV/atom

Cell lengths 6.255, 6.255, 6.255 Å; angles 60.00, 60.00, 60.00 degrees
Atoms (fractional coordinates):
In 0.000 0.000 0.000
In 0.000 0.000 0.500
In 0.000 0.500 0.000
In 0.500 0.000 0.000
Hg 0.375 0.375 0.375
Hg 0.625 0.625 0.625